No. 1
Crystalline TbNiOs at its relaxed geometry, computed with PBE-GGA.

Properties
Formation energy, meV/atom: 335
Space group: No. 216

extended XYZ file:
```
3
Lattice="0.0000 3.0542 3.0542 3.0542 0.0000 3.0542 3.0542 3.0542 0.0000" Properties=species:S:1:pos:R:3 pbc="T T T"
Ni 0.0000 0.0000 0.0000
Os 1.5271 1.5271 1.5271
Tb 4.5813 4.5813 4.5813
```

No. 2
Crystalline TcNi2Os2 at its relaxed geometry, computed with PBE-GGA.

Properties
Formation energy, meV/atom: 537
Space group: No. 2

extended XYZ file:
```
5
Lattice="3.6783 0.0000 0.0000 -1.8391 4.2591 0.0000 -0.0069 -0.2685 4.6562" Properties=species:S:1:pos:R:3 pbc="T T T"
Ni -0.0003 0.7862 1.5463
Ni 1.8327 3.2045 3.1100
Os 1.8386 2.5303 0.8014
Os -0.0062 1.4603 3.8548
Tc 1.8392 0.0000 0.0000
```